Entry from the Alexandria database: a relaxed AcPmPrLu crystal (PBE).

Summary:
The energy above the most stable polymorph in this dataset is 0 meV per atom. Its symmetry is No. 216. As for the density of states at the Fermi level: 7.8 states/eV per cell.

a b c (Å): 5.8948 5.8948 5.8948
angles (deg): 60.00 60.00 60.00
Sites, in units of the cell vectors:
Ac 0.0000 0.0000 0.0000
Pm 0.7500 0.7500 0.7500
Pr 0.5000 0.5000 0.5000
Lu 0.2500 0.2500 0.2500